Density functional theory data (GGA-PBE) for HoThZn after structural relaxation.

## Properties
The value obtained for the distance to the lowest polymorph of the same formula is 17.6 kJ/mol of atoms. For the formation energy, the calculation gives 0.04 eV/atom. The space-group type is P3m1.

Lattice parameters (Å, degrees): 3.659 5.043 5.043 120.00 90.00 90.00
Sites, in units of the cell vectors:
Zn 0.230 0.333 0.667
Th 0.649 0.667 0.333
Ho 0.121 0.000 0.000


Density functional theory data (GGA-PBE) for PaTcIr2 after structural relaxation.

## Properties
For the formation energy, the calculation gives -0.61 eV/atom. The space-group type is P4/mmm.

Lattice parameters (Å, degrees): 4.083 4.087 4.087 90.00 90.00 90.00
Sites, in units of the cell vectors:
Pa 0.500 0.500 0.500
Tc 0.500 0.000 0.000
Ir 0.000 0.000 0.500
Ir 0.000 0.500 0.000


Density functional theory data (GGA-PBE) for MgCoSe2 after structural relaxation.

## Properties
The value obtained for the distance to the lowest polymorph of the same formula is 11.3 kJ/mol of atoms. Its raw formation energy is -0.407 eV/atom. The space-group type is Cm.

Lattice parameters (Å, degrees): 6.615 6.615 3.626 90.02 90.02 29.18
Each line ends with the local moment (μB).
Sites, in units of the cell vectors:
Se 0.974 0.974 0.124  0.08
Se 0.709 0.709 0.626  0.06
Co 0.523 0.523 0.624  1.75
Mg 0.294 0.294 0.126  0.00


Density functional theory data (GGA-PBE) for CoSbTeN2 after structural relaxation.

## Properties
The value obtained for the distance to the lowest polymorph of the same formula is 0.0 kJ/mol of atoms. Its raw formation energy is 1.261 eV/atom. The space-group type is P4/mmm.

Lattice parameters (Å, degrees): 4.013 4.013 5.158 90.00 90.00 90.00
Each line ends with the local moment (μB).
Sites, in units of the cell vectors:
N 0.000 0.500 0.000  0.74
N 0.500 0.000 0.000  0.74
Co 0.000 0.000 0.000  1.07
Sb 0.500 0.500 0.500  -0.13
Te 0.000 0.000 0.500  0.02


Density functional theory data (GGA-PBE) for Zr3TaH after structural relaxation.

## Properties
The value obtained for the distance to the lowest polymorph of the same formula is 150.0 kJ/mol of atoms. The space-group type is Pm-3m.

Lattice parameters (Å, degrees): 5.167 5.167 5.167 90.00 90.00 90.00
Sites, in units of the cell vectors:
Zr 0.000 0.000 0.500
Zr 0.500 0.000 0.000
Zr 0.000 0.500 0.000
H 0.500 0.500 0.500
Ta 0.000 0.000 0.000


Density functional theory data (GGA-PBE) for NaSm2S3 after structural relaxation.

## Properties
Its raw formation energy is -1.879 eV/atom. The space-group type is Immm.

Lattice parameters (Å, degrees): 4.008 5.672 7.010 113.87 106.61 90.00
Sites, in units of the cell vectors:
Sm 0.163 0.163 0.826
Sm 0.837 0.837 0.174
Na 0.500 0.500 0.500
S 0.500 0.000 0.500
S 0.829 0.329 0.158
S 0.171 0.671 0.842